The following is a GGA-PBEsol calculation of crystalline Na3CoHg at its relaxed geometry, from Alexandria via LeMat-Bulk.

```
5
Lattice="5.303 0.000 0.000 0.000 5.303 0.000 0.000 0.000 5.303" Properties=species:S:1:pos:R:3 pbc="T T T"
Na 0.000 0.000 2.652
Na 0.000 2.652 0.000
Na 2.652 0.000 0.000
Co 0.000 0.000 0.000
Hg 2.652 2.652 2.652
```

Summary:
density of states at the Fermi level	7.09	states/eV/cell
calculated formation energy	3.78	eV/f.u.
crystal system	cubic